[1]
Crystalline ZnNF2 at its relaxed geometry. Source: Alexandria, functional PBE-GGA.

Cell lengths 3.9110, 3.9110, 3.9110 Å; angles 60.00, 60.00, 60.00 degrees
Last column: nearest neighbours and their distance in Å.
Atoms (fractional coordinates):
N1 0.0000 0.0000 0.0000  8 F 2.39
Zn1 0.5000 0.5000 0.5000  8 F 2.39
F1 0.7500 0.7500 0.7500  4 Zn 2.39, 4 N 2.39
F2 0.2500 0.2500 0.2500  4 Zn 2.39, 4 N 2.39

Output
- Volume: 10.6 Å³/atom

[2]
Crystalline ZnN2F2 at its relaxed geometry. Source: Alexandria, functional PBE-GGA.

Cell lengths 4.0411, 4.0411, 4.3367 Å; angles 90.00, 90.00, 90.00 degrees
Last column: nearest neighbours and their distance in Å.
Atoms (fractional coordinates):
F1 0.5000 0.0000 0.0000  2 Zn 2.02
F2 0.0000 0.5000 0.0000  2 Zn 2.02
N1 0.0000 0.0000 0.5000  2 Zn 2.17
N2 0.5000 0.5000 0.5000  4 N 2.86, 8 F 2.96
Zn1 0.0000 0.0000 0.0000  4 F 2.02, 2 N 2.17

Output
- Volume: 14.2 Å³/atom

[3]
Crystalline ZnN2F2 at its relaxed geometry. Source: Alexandria, functional PBE-GGA.

Cell lengths 3.4597, 3.4597, 4.6673 Å; angles 90.00, 90.00, 90.00 degrees
Last column: nearest neighbours and their distance in Å.
Atoms (fractional coordinates):
Zn1 0.5000 0.5000 0.5000  4 F 2.45
N1 0.0000 0.5000 0.0000  2 F 1.73
N2 0.5000 0.0000 0.0000  2 F 1.73
F1 0.0000 0.0000 0.5000  2 F 2.33, 4 Zn 2.45
F2 0.0000 0.0000 0.0000  4 N 1.73

Output
- Volume: 11.2 Å³/atom

Number 1: formation energy from raw total energies 0.088 eV/atom, total energy -3.248 eV/atom, polymorph energy (0 for the lowest one) 1713 meV/atom. Number 2: formation energy from raw total energies 0.907 eV/atom, total energy -3.427 eV/atom, polymorph energy (0 for the lowest one) 2229 meV/atom. Number 3: formation energy from raw total energies 1.549 eV/atom, total energy -2.785 eV/atom, polymorph energy (0 for the lowest one) 2871 meV/atom.